## one
{"formula": "Dy2GeO5", "functional": "PBE", "state": "relaxed", "lattice_angstrom": [[-8.292, -3.964, 0.689], [2.602, -5.911, -2.690], [3.007, -1.343, 5.859]], "species": ["Dy", "Dy", "Dy", "Dy", "Dy", "Dy", "Dy", "Dy", "O", "O", "O", "O", "O", "O", "O", "O", "O", "O", "O", "O", "O", "O", "O", "O", "O", "O", "O", "O", "Ge", "Ge", "Ge", "Ge"], "frac_coords": [[0.636, 0.864, 0.464], [0.027, 0.373, 0.230], [0.973, 0.627, 0.770], [0.027, 0.127, 0.730], [0.364, 0.136, 0.536], [0.973, 0.873, 0.270], [0.636, 0.636, 0.964], [0.364, 0.364, 0.036], [0.612, 0.196, 0.518], [0.604, 0.934, 0.785], [0.283, 0.417, 0.321], [0.890, 0.616, 0.071], [0.717, 0.583, 0.679], [0.388, 0.696, 0.982], [0.110, 0.384, 0.929], [0.388, 0.804, 0.482], [0.604, 0.566, 0.285], [0.283, 0.083, 0.821], [0.107, 0.637, 0.494], [0.890, 0.884, 0.571], [0.396, 0.434, 0.715], [0.893, 0.363, 0.506], [0.396, 0.066, 0.215], [0.107, 0.863, 0.994], [0.893, 0.137, 0.006], [0.717, 0.917, 0.179], [0.612, 0.304, 0.018], [0.110, 0.116, 0.429], [0.303, 0.594, 0.523], [0.303, 0.906, 0.023], [0.697, 0.094, 0.977], [0.697, 0.406, 0.477]]}

## two
{"formula": "Dy2GeO5", "functional": "PBE", "state": "relaxed", "lattice_angstrom": [[-1.913, -3.250, -7.256], [-5.799, -5.370, -2.100], [-2.764, 9.811, 1.951]], "species": ["Dy", "Dy", "Dy", "Dy", "Dy", "Dy", "Dy", "Dy", "O", "O", "O", "O", "O", "O", "O", "O", "O", "O", "O", "O", "O", "O", "O", "O", "O", "O", "O", "O", "Ge", "Ge", "Ge", "Ge"], "frac_coords": [[0.730, 0.997, 0.164], [0.722, 0.209, 0.539], [0.209, 0.722, 0.039], [0.270, 0.003, 0.836], [0.791, 0.278, 0.961], [0.278, 0.791, 0.461], [0.003, 0.270, 0.336], [0.997, 0.730, 0.664], [0.919, 0.117, 0.399], [0.084, 0.686, 0.181], [0.042, 0.349, 0.173], [0.958, 0.651, 0.827], [0.883, 0.081, 0.101], [0.081, 0.883, 0.601], [0.586, 0.580, 0.137], [0.773, 0.633, 0.453], [0.580, 0.586, 0.637], [0.117, 0.919, 0.899], [0.686, 0.084, 0.681], [0.314, 0.916, 0.319], [0.349, 0.042, 0.673], [0.227, 0.367, 0.547], [0.420, 0.414, 0.363], [0.916, 0.314, 0.819], [0.367, 0.227, 0.047], [0.633, 0.773, 0.953], [0.651, 0.958, 0.327], [0.414, 0.420, 0.863], [0.780, 0.591, 0.811], [0.591, 0.780, 0.311], [0.220, 0.409, 0.189], [0.409, 0.220, 0.689]]}

Quick one: most stable of them? two